Record 1
Compound: Sr2CdIn12Ni3
Source: Alexandria via LeMat-Bulk
Functional: GGA-PBE
Structure: relaxed

Unit cell a=8.6735 b=8.6735 c=8.6735 alpha=66.63 beta=66.63 gamma=66.63
Last column: nearest neighbours and their distance in Å.
Fractional positions:
Sr (0.0947, 0.0947, 0.0947)  3 In 3.39
Sr (0.9053, 0.9053, 0.9053)  3 In 3.39
Cd (0.5000, 0.5000, 0.5000)  6 In 3.07
In (0.1009, 0.6397, 0.6397)  1 Ni 2.56
In (0.2256, 0.2256, 0.5966)  2 Ni 2.49
In (0.2256, 0.5966, 0.2256)  2 Ni 2.49
In (0.3603, 0.3603, 0.8991)  1 Ni 2.56
In (0.3603, 0.8991, 0.3603)  1 Ni 2.56
In (0.4034, 0.7744, 0.7744)  2 Ni 2.49
In (0.5966, 0.2256, 0.2256)  2 Ni 2.49
In (0.6397, 0.1009, 0.6397)  1 Ni 2.56
In (0.6397, 0.6397, 0.1009)  1 Ni 2.56
In (0.7744, 0.4034, 0.7744)  2 Ni 2.49
In (0.7744, 0.7744, 0.4034)  2 Ni 2.49
In (0.8991, 0.3603, 0.3603)  1 Ni 2.56
Ni (0.0000, 0.5000, 0.5000)  6 In 2.49-2.56
Ni (0.5000, 0.0000, 0.5000)  6 In 2.49-2.56
Ni (0.5000, 0.5000, 0.0000)  6 In 2.49-2.56

Values from the calculation:
Fermi-level density of states = 8.82 states/eV per cell
calculated volume = 29.3 A^3/atom
E = -3.046 eV per atom

---

Record 2
Compound: CoAsBr2
Source: Alexandria via LeMat-Bulk
Functional: GGA-PBE
Structure: relaxed

Unit cell a=4.8394 b=4.8394 c=4.8394 alpha=60.00 beta=60.00 gamma=60.00
Last column: nearest neighbours and their distance in Å.
Fractional positions:
Co (0.0000, 0.0000, 0.0000)  8 Br 2.96
As (0.5000, 0.5000, 0.5000)  8 Br 2.96
Br (0.2500, 0.2500, 0.2500)  4 As 2.96, 4 Co 2.96
Br (0.7500, 0.7500, 0.7500)  4 As 2.96, 4 Co 2.96

Values from the calculation:
Fermi-level density of states = 4.90 states/eV per cell
energy relative to the lowest polymorph listed for this composition = 870 meV per atom
E_form (uncorrected) = 0.7899 eV per atom
calculated volume = 20.0 A^3/atom
E = -2.985 eV per atom

---

Record 3
Compound: ZrMo3
Source: Alexandria via LeMat-Bulk
Functional: GGA-PBE
Structure: relaxed

Unit cell a=4.8534 b=4.8534 c=4.8534 alpha=90.00 beta=90.00 gamma=90.00
Last column: nearest neighbours and their distance in Å.
Fractional positions:
Zr (0.0000, 0.0000, 0.0000)  6 Mo 2.43
Mo (0.0000, 0.0000, 0.5000)  2 Zr 2.43
Mo (0.0000, 0.5000, 0.0000)  2 Zr 2.43
Mo (0.5000, 0.0000, 0.0000)  2 Zr 2.43

Values from the calculation:
Fermi-level density of states = 7.66 states/eV per cell
calculated volume = 28.6 A^3/atom
E = -7.163 eV per atom

---

Record 4
Compound: DyYGaAu
Source: Alexandria via LeMat-Bulk
Functional: GGA-PBE
Structure: relaxed

Unit cell a=5.1051 b=5.1051 c=5.1051 alpha=60.00 beta=60.00 gamma=60.00
Last column: nearest neighbours and their distance in Å.
Fractional positions:
Dy (0.0000, 0.0000, 0.0000)  4 Au 3.13, 4 Ga 3.13
Y (0.5000, 0.5000, 0.5000)  4 Ga 3.13, 4 Au 3.13
Ga (0.7500, 0.7500, 0.7500)  4 Dy 3.13, 4 Y 3.13
Au (0.2500, 0.2500, 0.2500)  4 Dy 3.13, 4 Y 3.13

Values from the calculation:
Fermi-level density of states = 2.68 states/eV per cell
energy relative to the lowest polymorph listed for this composition = 26 meV per atom
calculated volume = 23.5 A^3/atom
E = -5.049 eV per atom

---

Record 5
Compound: CeMgP2Pt2
Source: Alexandria via LeMat-Bulk
Functional: GGA-PBE
Structure: relaxed

Unit cell a=4.1201 b=4.1201 c=7.4578 alpha=90.00 beta=90.00 gamma=120.00
Last column: nearest neighbours and their distance in Å.
Fractional positions:
Ce (0.0000, 0.0000, 0.0000)  6 P 3.01, 6 Pt 3.18
Mg (0.0000, 0.0000, 0.5000)  6 Pt 2.88, 6 P 3.04
P (0.3333, 0.6667, 0.7535)  3 Pt 2.39
P (0.6667, 0.3333, 0.2465)  3 Pt 2.39
Pt (0.3333, 0.6667, 0.2833)  3 P 2.39
Pt (0.6667, 0.3333, 0.7167)  3 P 2.39

Values from the calculation:
Fermi-level density of states = 5.62 states/eV per cell
calculated volume = 18.3 A^3/atom
E = -6.092 eV per atom

---

Record 6
Compound: Be2NbInPt
Source: Alexandria via LeMat-Bulk
Functional: GGA-PBE
Structure: relaxed

Unit cell a=4.3765 b=4.3765 c=5.2239 alpha=90.00 beta=90.00 gamma=90.00
Last column: nearest neighbours and their distance in Å.
Fractional positions:
Be (0.0000, 0.5000, 0.0000)  2 Nb 2.19
Be (0.5000, 0.0000, 0.0000)  2 Nb 2.19
Nb (0.0000, 0.0000, 0.0000)  4 Be 2.19
In (0.0000, 0.0000, 0.5000)  2 Nb 2.61
Pt (0.5000, 0.5000, 0.5000)  4 In 3.09, 8 Be 3.41

Values from the calculation:
Fermi-level density of states = 3.23 states/eV per cell
energy relative to the lowest polymorph listed for this composition = 212 meV per atom
calculated volume = 20.0 A^3/atom
E = -3.769 eV per atom